1.
Cr4FeCuSe8: single point on PBEsol structure, SCAN.

Summary:
- Uncorrected formation energy: -0.72 eV/atom

```
data_Cr4FeCuSe8
_cell_length_a 10.264
_cell_length_b 10.264
_cell_length_c 10.264
_cell_angle_alpha 90.00
_cell_angle_beta 90.00
_cell_angle_gamma 90.00
_symmetry_space_group_name_H-M 'F -4 3 m'
_symmetry_Int_Tables_number 216
_symmetry_space_group_name_Hall 'F -4 2 3'
loop_
_atom_site_label
_atom_site_type_symbol
_atom_site_fract_x
_atom_site_fract_y
_atom_site_fract_z
Cr1 Cr 0.123 0.123 0.377
Fe1 Fe 0.000 0.000 0.000
Cu1 Cu 0.250 0.250 0.750
Se1 Se 0.118 0.118 0.618
Se2 Se 0.132 0.132 0.132
```

2.
Cr4GaCuSe8: single point on PBEsol structure, SCAN.

Summary:
- Uncorrected formation energy: -0.81 eV/atom

```
data_Cr4GaCuSe8
_cell_length_a 10.360
_cell_length_b 10.360
_cell_length_c 10.360
_cell_angle_alpha 90.00
_cell_angle_beta 90.00
_cell_angle_gamma 90.00
_symmetry_space_group_name_H-M 'F -4 3 m'
_symmetry_Int_Tables_number 216
_symmetry_space_group_name_Hall 'F -4 2 3'
loop_
_atom_site_label
_atom_site_type_symbol
_atom_site_fract_x
_atom_site_fract_y
_atom_site_fract_z
Cr1 Cr 0.121 0.121 0.121
Ga1 Ga 0.000 0.000 0.500
Cu1 Cu 0.250 0.250 0.750
Se1 Se 0.117 0.117 0.883
Se2 Se 0.136 0.136 0.364
```

3.
CrCu2H2: single point on PBEsol structure, SCAN.

Summary:
- Electronic total energy: -10.683 eV per atom

```
data_CrCu2H2
_cell_length_a 2.553
_cell_length_b 2.553
_cell_length_c 12.385
_cell_angle_alpha 90.00
_cell_angle_beta 90.00
_cell_angle_gamma 90.00
_symmetry_space_group_name_H-M 'I 4/m m m'
_symmetry_Int_Tables_number 139
_symmetry_space_group_name_Hall '-I 4 2'
loop_
_atom_site_label
_atom_site_type_symbol
_atom_site_fract_x
_atom_site_fract_y
_atom_site_fract_z
Cr1 Cr 0.000 0.000 0.000
Cu1 Cu 0.000 0.000 0.349
H1 H 0.000 0.500 0.250
```

4.
Sr2CrCuH: single point on PBEsol structure, SCAN.

Summary:
- Electronic total energy: -16.233 eV per atom

```
data_Sr2CrCuH
_cell_length_a 5.275
_cell_length_b 5.275
_cell_length_c 3.873
_cell_angle_alpha 90.00
_cell_angle_beta 90.00
_cell_angle_gamma 90.00
_symmetry_space_group_name_H-M 'P 4/m m m'
_symmetry_Int_Tables_number 123
_symmetry_space_group_name_Hall '-P 4 2'
loop_
_atom_site_label
_atom_site_type_symbol
_atom_site_fract_x
_atom_site_fract_y
_atom_site_fract_z
Sr1 Sr 0.000 0.500 0.000
Cr1 Cr 0.000 0.000 0.500
Cu1 Cu 0.500 0.500 0.500
H1 H 0.000 0.000 0.000
```

5.
HfCrCu2: single point on PBEsol structure, SCAN.

Summary:
- Formation energy: -61 meV/atom

```
data_HfCrCu2
_cell_length_a 6.153
_cell_length_b 6.153
_cell_length_c 6.153
_cell_angle_alpha 90.00
_cell_angle_beta 90.00
_cell_angle_gamma 90.00
_symmetry_space_group_name_H-M 'F m -3 m'
_symmetry_Int_Tables_number 225
_symmetry_space_group_name_Hall '-F 4 2 3'
loop_
_atom_site_label
_atom_site_type_symbol
_atom_site_fract_x
_atom_site_fract_y
_atom_site_fract_z
Hf1 Hf 0.000 0.000 0.000
Cr1 Cr 0.000 0.000 0.500
Cu1 Cu 0.250 0.250 0.250
```

6.
Cr2CuHg: single point on PBEsol structure, SCAN.

Summary:
- Formation energy: 556 meV/atom

```
data_Cr2CuHg
_cell_length_a 3.266
_cell_length_b 3.266
_cell_length_c 5.278
_cell_angle_alpha 90.00
_cell_angle_beta 90.00
_cell_angle_gamma 90.00
_symmetry_space_group_name_H-M 'P 4/m m m'
_symmetry_Int_Tables_number 123
_symmetry_space_group_name_Hall '-P 4 2'
loop_
_atom_site_label
_atom_site_type_symbol
_atom_site_fract_x
_atom_site_fract_y
_atom_site_fract_z
Cr1 Cr 0.000 0.000 0.181
Cu1 Cu 0.500 0.500 0.000
Hg1 Hg 0.500 0.500 0.500
```

| no. | total magnetization (μB per atom) |
| --- | --- |
| 1 | 1.1210 |
| 2 | 0.8548 |
| 3 | 0.0004 |
| 4 | 0.9263 |
| 5 | 1.0471 |
| 6 | 0.0001 |